# AlBSe

An optimized crystal structure of AlBSe (PBE, Alexandria).

a = 3.237 Å, b = 4.297 Å, c = 3.799 Å
α = 90.00°, β = 114.33°, γ = 90.00°
Fractional positions:
B  0.000  0.399  0.500
Al  0.000  0.642  0.000
Se  0.500  0.086  0.500

Values from the calculation:
- final energy (eV per cell) = -13.30
- SG = P2, No. 3
- DOS at the Fermi energy (states/eV/f.u.) = 0.5
- offset from the most stable computed form (eV/f.u.) = 1.17
- ΔE_f (raw) (eV/f.u.) = 0.61
- V (Å³ per atom) = 16.0

---

# AlB3Se

An optimized crystal structure of AlB3Se (PBE, Alexandria).

a = 4.239 Å, b = 4.239 Å, c = 4.239 Å
α = 90.00°, β = 90.00°, γ = 90.00°
Fractional positions:
B  0.500  0.000  0.000
Se  0.500  0.500  0.500
B  0.000  0.000  0.500
Al  0.000  0.000  0.000
B  0.000  0.500  0.000

Values from the calculation:
- final energy (eV per cell) = -18.36
- SG = Pm-3m, No. 221
- DOS at the Fermi energy (states/eV/f.u.) = 1.8
- offset from the most stable computed form (eV/f.u.) = 0.00
- ΔE_f (raw) (eV/f.u.) = 8.90
- V (Å³ per atom) = 15.2

---

# AlBSe

An optimized crystal structure of AlBSe (PBE, Alexandria).

a = 4.618 Å, b = 3.586 Å, c = 8.209 Å
α = 90.00°, β = 90.11°, γ = 90.00°
Fractional positions:
B  0.193  0.500  0.418
Al  0.218  0.000  0.567
Se  0.421  0.500  0.223
Se  0.923  0.000  0.816
B  0.694  0.000  0.621
Al  0.718  0.500  0.472

Values from the calculation:
- final energy (eV per cell) = -27.01
- SG = Pm, No. 6
- DOS at the Fermi energy (states/eV/f.u.) = 0.6
- offset from the most stable computed form (eV/f.u.) = 0.97
- ΔE_f (raw) (eV/f.u.) = 0.40
- V (Å³ per atom) = 22.7

---

# AlBSe

An optimized crystal structure of AlBSe (PBE, Alexandria).

a = 3.313 Å, b = 3.745 Å, c = 10.450 Å
α = 89.98°, β = 93.81°, γ = 116.53°
Fractional positions:
Al  0.859  0.835  0.989
Se  0.205  0.480  0.107
B  0.080  0.873  0.785
Se  0.352  0.020  0.504
Al  0.059  0.375  0.637
B  0.596  0.874  0.786

Values from the calculation:
- final energy (eV per cell) = -28.94
- SG = P1, No. 1
- DOS at the Fermi energy (states/eV/f.u.) = 0.3
- offset from the most stable computed form (eV/f.u.) = 0.00
- ΔE_f (raw) (eV/f.u.) = -0.56
- V (Å³ per atom) = 19.3

---

# AlB3Se

An optimized crystal structure of AlB3Se (PBE, Alexandria).

a = 4.107 Å, b = 4.107 Å, c = 4.107 Å
α = 90.00°, β = 90.00°, γ = 90.00°
Fractional positions:
B  0.000  0.000  0.500
Se  0.000  0.000  0.000
B  0.500  0.000  0.000
B  0.000  0.500  0.000
Al  0.500  0.500  0.500

Values from the calculation:
- final energy (eV per cell) = -17.67
- SG = Pm-3m, No. 221
- DOS at the Fermi energy (states/eV/f.u.) = 1.7
- offset from the most stable computed form (eV/f.u.) = 0.69
- ΔE_f (raw) (eV/f.u.) = 9.59
- V (Å³ per atom) = 13.9

---

# AlBSe

An optimized crystal structure of AlBSe (PBE, Alexandria).

a = 3.465 Å, b = 3.157 Å, c = 9.455 Å
α = 90.00°, β = 90.00°, γ = 90.00°
Fractional positions:
Se  0.500  0.500  0.222
Al  0.000  0.000  0.941
B  0.500  0.500  0.588
Se  0.500  0.000  0.722
Al  0.000  0.500  0.441
B  0.500  0.000  0.088

Values from the calculation:
- final energy (eV per cell) = -26.18
- SG = Amm2, No. 38
- DOS at the Fermi energy (states/eV/f.u.) = 1.5
- offset from the most stable computed form (eV/f.u.) = 1.38
- ΔE_f (raw) (eV/f.u.) = 0.81
- V (Å³ per atom) = 17.2

---

# AlBSe

An optimized crystal structure of AlBSe (PBE, Alexandria).

a = 10.977 Å, b = 3.331 Å, c = 6.419 Å
α = 90.00°, β = 90.00°, γ = 90.00°
Fractional positions:
B  0.000  0.243  0.960
B  0.500  0.743  0.460
Al  0.320  0.500  0.345
Se  0.823  0.000  0.460
B  0.000  0.757  0.960
Se  0.323  0.500  0.960
Se  0.177  0.000  0.460
Al  0.180  0.000  0.845
B  0.500  0.257  0.460
Se  0.677  0.500  0.960
Al  0.820  0.000  0.845
Al  0.680  0.500  0.345

Values from the calculation:
- final energy (eV per cell) = -57.69
- SG = Imm2, No. 44
- DOS at the Fermi energy (states/eV/f.u.) = 0.3
- offset from the most stable computed form (eV/f.u.) = 0.05
- ΔE_f (raw) (eV/f.u.) = -0.52
- V (Å³ per atom) = 19.6

---

# Al3BSe

An optimized crystal structure of Al3BSe (PBE, Alexandria).

a = 4.336 Å, b = 4.336 Å, c = 4.336 Å
α = 90.00°, β = 90.00°, γ = 90.00°
Fractional positions:
B  0.000  0.000  0.000
Al  0.000  0.000  0.500
Se  0.500  0.500  0.500
Al  0.500  0.000  0.000
Al  0.000  0.500  0.000

Values from the calculation:
- final energy (eV per cell) = -20.77
- SG = Pm-3m, No. 221
- DOS at the Fermi energy (states/eV/f.u.) = 2.6
- offset from the most stable computed form (eV/f.u.) = 0.00
- ΔE_f (raw) (eV/f.u.) = 0.62
- V (Å³ per atom) = 16.3

---

# AlBSe

An optimized crystal structure of AlBSe (PBE, Alexandria).

a = 3.382 Å, b = 5.261 Å, c = 6.203 Å
α = 115.09°, β = 105.82°, γ = 90.00°
Fractional positions:
B  0.500  0.647  0.000
Se  0.177  0.177  0.354
B  0.500  0.353  0.000
Al  0.139  0.639  0.278
Al  0.861  0.361  0.722
Se  0.823  0.823  0.646

Values from the calculation:
- final energy (eV per cell) = -25.52
- SG = Immm, No. 71
- DOS at the Fermi energy (states/eV/f.u.) = 0.6
- offset from the most stable computed form (eV/f.u.) = 1.71
- ΔE_f (raw) (eV/f.u.) = 1.14
- V (Å³ per atom) = 15.9

---

# AlBSe

An optimized crystal structure of AlBSe (PBE, Alexandria).

a = 3.794 Å, b = 4.075 Å, c = 8.482 Å
α = 97.53°, β = 90.79°, γ = 103.42°
Fractional positions:
Al  0.701  0.103  0.369
Al  0.299  0.897  0.631
B  0.498  0.593  0.420
Se  0.233  0.287  0.215
B  0.502  0.407  0.580
Se  0.767  0.713  0.785

Values from the calculation:
- final energy (eV per cell) = -28.66
- SG = P-1, No. 2
- offset from the most stable computed form (eV/f.u.) = 0.14
- ΔE_f (raw) (eV/f.u.) = -0.43
- V (Å³ per atom) = 21.1

---

# Al3BSe

An optimized crystal structure of Al3BSe (PBE, Alexandria).

a = 4.930 Å, b = 4.930 Å, c = 4.930 Å
α = 90.00°, β = 90.00°, γ = 90.00°
Fractional positions:
Se  0.000  0.000  0.000
Al  0.500  0.000  0.000
Al  0.000  0.500  0.000
Al  0.000  0.000  0.500
B  0.500  0.500  0.500

Values from the calculation:
- final energy (eV per cell) = -13.97
- SG = Pm-3m, No. 221
- DOS at the Fermi energy (states/eV/f.u.) = 2.2
- offset from the most stable computed form (eV/f.u.) = 6.80
- ΔE_f (raw) (eV/f.u.) = 7.42
- V (Å³ per atom) = 24.0

---

# AlBSe

An optimized crystal structure of AlBSe (PBE, Alexandria).

a = 5.127 Å, b = 3.503 Å, c = 6.071 Å
α = 90.00°, β = 113.73°, γ = 90.00°
Fractional positions:
B  0.562  0.500  0.048
Al  0.344  0.500  0.641
Al  0.344  0.000  0.141
Se  0.967  0.500  0.182
B  0.562  0.000  0.548
Se  0.967  0.000  0.682

Values from the calculation:
- final energy (eV per cell) = -26.56
- SG = Cm, No. 8
- DOS at the Fermi energy (states/eV/f.u.) = 0.7
- offset from the most stable computed form (eV/f.u.) = 1.19
- ΔE_f (raw) (eV/f.u.) = 0.62
- V (Å³ per atom) = 16.6

---

# AlBSe

An optimized crystal structure of AlBSe (PBE, Alexandria).

a = 3.643 Å, b = 4.208 Å, c = 8.312 Å
α = 90.58°, β = 99.18°, γ = 107.27°
Fractional positions:
B  0.698  0.809  0.427
Al  0.465  0.260  0.367
Al  0.196  0.665  0.550
Se  0.803  0.978  0.195
Se  0.163  0.333  0.783
B  0.977  0.122  0.561

Values from the calculation:
- final energy (eV per cell) = -27.94
- SG = P1, No. 1
- DOS at the Fermi energy (states/eV/f.u.) = 0.6
- offset from the most stable computed form (eV/f.u.) = 0.50
- ΔE_f (raw) (eV/f.u.) = -0.07
- V (Å³ per atom) = 20.0

---

# AlBSe

An optimized crystal structure of AlBSe (PBE, Alexandria).

a = 7.200 Å, b = 3.321 Å, c = 13.186 Å
α = 90.00°, β = 117.73°, γ = 90.00°
Fractional positions:
Se  0.734  0.500  0.694
B  0.000  0.753  0.000
B  0.000  0.253  0.500
Se  0.734  0.000  0.194
Se  0.266  0.000  0.806
Se  0.266  0.500  0.306
Al  0.052  0.000  0.168
Al  0.948  0.500  0.332
B  0.000  0.247  0.000
B  0.000  0.747  0.500
Al  0.948  0.000  0.832
Al  0.052  0.500  0.668

Values from the calculation:
- final energy (eV per cell) = -57.78
- SG = C2/m, No. 12
- DOS at the Fermi energy (states/eV/f.u.) = 0.1
- offset from the most stable computed form (eV/f.u.) = 0.02
- ΔE_f (raw) (eV/f.u.) = -0.54
- V (Å³ per atom) = 23.3

---

# AlBSe

An optimized crystal structure of AlBSe (PBE, Alexandria).

a = 3.724 Å, b = 3.151 Å, c = 19.330 Å
α = 90.00°, β = 95.85°, γ = 90.00°
Fractional positions:
Se  0.936  0.500  0.335
Al  0.395  0.500  0.256
Al  0.858  0.000  0.113
Se  0.936  0.000  0.835
B  0.378  0.000  0.174
B  0.385  0.000  0.637
Se  0.552  0.500  0.031
B  0.378  0.500  0.674
B  0.385  0.500  0.137
Se  0.552  0.000  0.531
Al  0.858  0.500  0.613
Al  0.395  0.000  0.756

Values from the calculation:
- final energy (eV per cell) = -57.53
- SG = Cm, No. 8
- DOS at the Fermi energy (states/eV/f.u.) = 0.8
- offset from the most stable computed form (eV/f.u.) = 0.09
- ΔE_f (raw) (eV/f.u.) = -0.48
- V (Å³ per atom) = 18.8

---

# AlSnBSe2

An optimized crystal structure of AlSnBSe2 (PBE, Alexandria).

a = 5.469 Å, b = 4.335 Å, c = 5.469 Å
α = 90.00°, β = 90.00°, γ = 90.00°
Fractional positions:
B  0.000  0.500  0.000
Sn  0.000  0.000  0.000
Se  0.500  0.000  0.000
Se  0.000  0.000  0.500
Al  0.500  0.500  0.500

Values from the calculation:
- final energy (eV per cell) = -17.10
- SG = P4/mmm, No. 123
- DOS at the Fermi energy (states/eV/f.u.) = 1.8
- ΔE_f (raw) (eV/f.u.) = 4.29
- V (Å³ per atom) = 25.9

---

# AlB2TeSe

An optimized crystal structure of AlB2TeSe (PBE, Alexandria).

a = 4.301 Å, b = 5.164 Å, c = 4.301 Å
α = 90.00°, β = 90.00°, γ = 90.00°
Fractional positions:
Se  0.000  0.500  0.000
Te  0.500  0.500  0.500
Al  0.000  0.000  0.000
B  0.000  0.000  0.500
B  0.500  0.000  0.000

Values from the calculation:
- final energy (eV per cell) = -17.92
- SG = P4/mmm, No. 123
- DOS at the Fermi energy (states/eV/f.u.) = 2.6
- ΔE_f (raw) (eV/f.u.) = 5.80
- V (Å³ per atom) = 19.1

---

# AlTl2BSe4

An optimized crystal structure of AlTl2BSe4 (PBE, Alexandria).

a = 5.860 Å, b = 7.197 Å, c = 12.580 Å
α = 84.56°, β = 76.53°, γ = 65.98°
Fractional positions:
Se  0.331  0.815  0.098
Se  0.896  0.685  0.598
Se  0.506  0.315  0.598
Tl  0.943  0.500  0.113
B  0.250  0.500  0.500
Se  0.854  0.815  0.902
Tl  0.193  0.000  0.613
Al  0.750  0.500  0.500
Se  0.244  0.185  0.902
Se  0.572  0.185  0.098
Tl  0.557  0.500  0.887
Se  0.178  0.315  0.402
Tl  0.807  0.000  0.387
Al  0.000  0.000  0.000
B  0.500  0.000  0.000
Se  0.419  0.685  0.402

Values from the calculation:
- final energy (eV per cell) = -65.34
- SG = Fddd, No. 70
- ΔE_f (raw) (eV/f.u.) = -3.58
- V (Å³ per atom) = 29.5

---

# AlSiB2

An optimized crystal structure of AlSiB2 (PBE, Alexandria).

a = 5.121 Å, b = 5.121 Å, c = 5.592 Å
α = 62.75°, β = 62.75°, γ = 90.00°
Fractional positions:
B  0.375  0.345  0.750
Al  0.500  0.500  0.000
Al  0.250  0.750  0.500
Si  0.000  0.000  0.000
B  0.655  0.125  0.250
B  0.875  0.905  0.750
B  0.095  0.625  0.250
Si  0.750  0.250  0.500

Values from the calculation:
- final energy (eV per cell) = -40.03
- SG = I-42d, No. 122
- DOS at the Fermi energy (states/eV/f.u.) = 2.3
- offset from the most stable computed form (eV/f.u.) = 0.00
- ΔE_f (raw) (eV/f.u.) = 2.51
- V (Å³ per atom) = 14.0

---

# AlSiB3

An optimized crystal structure of AlSiB3 (PBE, Alexandria).

a = 3.987 Å, b = 3.987 Å, c = 3.987 Å
α = 90.00°, β = 90.00°, γ = 90.00°
Fractional positions:
B  0.000  0.500  0.000
B  0.000  0.000  0.500
B  0.500  0.000  0.000
Al  0.500  0.500  0.500
Si  0.000  0.000  0.000

Values from the calculation:
- final energy (eV per cell) = -21.88
- SG = Pm-3m, No. 221
- DOS at the Fermi energy (states/eV/f.u.) = 1.8
- offset from the most stable computed form (eV/f.u.) = 0.00
- ΔE_f (raw) (eV/f.u.) = 7.32
- V (Å³ per atom) = 12.7